VASP calculation (PBE) on an optimized crystal structure of Dy6Y12Pu.

Output
Density (g cm⁻³): 6.29
Spin magnetization (μB per formula unit): 6.33
VASP energy (hartree per atom): -0.2298

Unit cell a=9.403 b=9.403 c=9.403 alpha=110.91 beta=110.91 gamma=110.91
Fractional coordinates of all 19 atoms:
Dy 0.030 0.187 0.291
Dy 0.187 0.291 0.030
Dy 0.291 0.030 0.187
Dy 0.709 0.970 0.813
Dy 0.813 0.709 0.970
Dy 0.970 0.813 0.709
Y 0.083 0.558 0.873
Y 0.127 0.917 0.442
Y 0.238 0.655 0.604
Y 0.345 0.396 0.762
Y 0.396 0.762 0.345
Y 0.442 0.127 0.917
Y 0.558 0.873 0.083
Y 0.604 0.238 0.655
Y 0.655 0.604 0.238
Y 0.762 0.345 0.396
Y 0.873 0.083 0.558
Y 0.917 0.442 0.127
Pu 0.500 0.500 0.500